No. 1
Here is a PBEsol-optimized structure of La4AgPb from Alexandria. Energies are from meta-GGA SCAN.

abc: 6.3462 6.3462 6.3462
angles: 60.00 60.00 60.00
Positions (direct):
La1 0.1232 0.1232 0.1232
La2 0.1232 0.1232 0.6303
La3 0.1232 0.6303 0.1232
La4 0.6303 0.1232 0.1232
Ag1 0.5000 0.5000 0.5000
Pb1 0.7500 0.7500 0.7500

E_tot = -278.91 eV/cell
SG = F-43m
D(E_F) = 1.08 states/eV per atom

No. 2
Here is a PBEsol-optimized structure of LiGaCl2 from Alexandria. Energies are from meta-GGA SCAN.

abc: 6.8560 6.8560 7.6584
angles: 90.00 90.00 90.00
Positions (direct):
Li1 0.0000 0.0000 0.0000
Li2 0.0000 0.5000 0.2500
Li3 0.5000 0.0000 0.7500
Li4 0.5000 0.5000 0.5000
Ga1 0.0000 0.0000 0.5000
Ga2 0.0000 0.5000 0.7500
Ga3 0.5000 0.0000 0.2500
Ga4 0.5000 0.5000 0.0000
Cl1 0.1894 0.7500 0.1250
Cl2 0.2500 0.1894 0.8750
Cl3 0.2500 0.3106 0.3750
Cl4 0.3106 0.7500 0.6250
Cl5 0.6894 0.2500 0.6250
Cl6 0.7500 0.6894 0.3750
Cl7 0.7500 0.8106 0.8750
Cl8 0.8106 0.2500 0.1250

SG = I-42d
ΔE_f (raw) = -1.27 eV/atom
D(E_F) = 0.00 states/eV per atom

No. 3
Here is a PBEsol-optimized structure of Ni2RhClF from Alexandria. Energies are from meta-GGA SCAN.

abc: 4.0361 4.0361 4.4245
angles: 90.00 90.00 90.00
Positions (direct):
Ni1 0.0000 0.5000 0.0000
Ni2 0.5000 0.0000 0.0000
Rh1 0.0000 0.0000 0.5000
Cl1 0.0000 0.0000 0.0000
F1 0.5000 0.5000 0.5000

SG = P4/mmm
ΔE_f (raw) = 0.56 eV/atom
D(E_F) = 0.96 states/eV per atom

No. 4
Here is a PBEsol-optimized structure of K2NaScF6 from Alexandria. Energies are from meta-GGA SCAN.

abc: 5.9743 5.9743 5.9743
angles: 60.00 60.00 60.00
Positions (direct):
K1 0.2500 0.2500 0.2500
K2 0.7500 0.7500 0.7500
Na1 0.0000 0.0000 0.0000
Sc1 0.5000 0.5000 0.5000
F1 0.2627 0.2627 0.7373
F2 0.2627 0.7373 0.2627
F3 0.2627 0.7373 0.7373
F4 0.7373 0.2627 0.2627
F5 0.7373 0.2627 0.7373
F6 0.7373 0.7373 0.2627

SG = Fm-3m
ΔE_f (raw) = -3.54 eV/atom
D(E_F) = 0.00 states/eV per atom

No. 5
Here is a PBEsol-optimized structure of BeCdCl2 from Alexandria. Energies are from meta-GGA SCAN.

abc: 3.0883 3.0883 7.6697
angles: 90.00 90.00 90.00
Positions (direct):
Be1 0.0000 0.0000 0.0000
Cd1 0.5000 0.5000 0.2830
Cl1 0.0000 0.0000 0.5057
Cl2 0.5000 0.5000 0.8639

SG = P4mm
ΔE_f (raw) = -0.26 eV/atom
D(E_F) = 0.27 states/eV per atom

No. 6
Here is a PBEsol-optimized structure of Sb2IrIO from Alexandria. Energies are from meta-GGA SCAN.

abc: 4.5041 4.5041 4.9426
angles: 90.00 90.00 90.00
Positions (direct):
Sb1 0.0000 0.5000 0.0000
Sb2 0.5000 0.0000 0.0000
Ir1 0.0000 0.0000 0.5000
I1 0.5000 0.5000 0.5000
O1 0.5000 0.5000 0.0000

SG = P4/mmm
ΔE_f (raw) = 0.80 eV/atom
D(E_F) = 0.53 states/eV per atom

No. 7
Here is a PBEsol-optimized structure of ZrNi2BrN from Alexandria. Energies are from meta-GGA SCAN.

abc: 4.6509 4.6509 5.1557
angles: 90.00 90.00 90.00
Positions (direct):
Zr1 0.0000 0.0000 0.0000
Ni1 0.0000 0.5000 0.0000
Ni2 0.5000 0.0000 0.0000
Br1 0.0000 0.0000 0.5000
N1 0.5000 0.5000 0.5000

SG = P4/mmm
ΔE_f (raw) = 1.68 eV/atom
D(E_F) = 0.39 states/eV per atom

No. 8
Here is a PBEsol-optimized structure of ZrRe3Te from Alexandria. Energies are from meta-GGA SCAN.

abc: 4.7654 4.7654 4.7654
angles: 90.00 90.00 90.00
Positions (direct):
Zr1 0.0000 0.0000 0.0000
Re1 0.0000 0.0000 0.5000
Re2 0.0000 0.5000 0.0000
Re3 0.5000 0.0000 0.0000
Te1 0.5000 0.5000 0.5000

SG = Pm-3m
ΔE_f (raw) = 2.69 eV/atom
D(E_F) = 1.13 states/eV per atom